# Cu5TeSe2, optimized geometry, DFT PBE-GGA
data_Cu5TeSe2
_chemical_formula_sum 'Cu5 Te1 Se2'
_space_group_name_H-M_alt 'P 1'
_space_group_IT_number 1
_space_group_name_Hall 'P 1'
_cell_length_a 7.1458
_cell_length_b 7.0596
_cell_length_c 7.0596
_cell_angle_alpha 68.44
_cell_angle_beta 46.57
_cell_angle_gamma 46.57
loop_
_atom_site_label
_atom_site_type_symbol
_atom_site_fract_x
_atom_site_fract_y
_atom_site_fract_z
Cu1 Cu 0.5444 0.3032 0.3032
Cu2 Cu 0.0036 0.3007 0.8431
Cu3 Cu 0.0037 0.8431 0.3007
Cu4 Cu 0.4614 0.8404 0.8404
Cu5 Cu 0.9879 0.6942 0.6942
Te1 Te 0.0097 0.9072 0.9072
Se1 Se 0.4946 0.6958 0.1924
Se2 Se 0.4946 0.1924 0.6958
# E_form (uncorrected) (meV/atom): 45
# DFT total energy (eV per atom): -3.78
# DOS at the Fermi energy (states/eV per cell): 5.42
# Space-group type: Cm